{"formula": "Ta2TcAs", "functional": "PBE-GGA", "state": "optimized geometry", "volume_a3_per_fu": 67, "final_energy_ev_per_atom": -9.762, "delta_e_f_ev_per_atom": -0.082, "sg": "Cmmm (65)", "dos_ef_per_ev_cell": 6.62, "lattice": [[3.377, 0.000, 0.000], [0.000, 4.807, 0.000], [0.000, 0.000, 8.262]], "species": ["Ta", "Ta", "Ta", "Ta", "Tc", "Tc", "As", "As"], "fractional_positions": [[0.000, 0.000, 0.248], [0.000, 0.000, 0.752], [0.500, 0.500, 0.248], [0.500, 0.500, 0.752], [0.000, 0.500, 0.500], [0.500, 0.000, 0.500], [0.000, 0.500, 0.000], [0.500, 0.000, 0.000]]}